1.
# CoSbAs2

A PBEsol-optimized structure of CoSbAs2 (SCAN, Alexandria via LeMat-Bulk).

```
CoSbAs2
1.0
2.983 0.000 0.000
0.000 4.582 0.000
-1.492 -2.291 5.261
As Co Sb
2 1 1
Cartesian
0.000 0.000 3.343 As
1.492 2.291 1.918 As
0.000 2.291 0.000 Co
1.492 0.000 0.000 Sb
```

---

2.
# RbBPtI2

A PBEsol-optimized structure of RbBPtI2 (SCAN, Alexandria via LeMat-Bulk).

```
RbBPtI2
1.0
4.071 0.000 0.000
0.000 5.821 0.000
0.000 0.000 5.821
I Pt Rb B
2 1 1 1
Cartesian
0.000 0.000 2.910 I
0.000 2.910 0.000 I
0.000 0.000 0.000 Pt
2.035 2.910 2.910 Rb
2.035 0.000 0.000 B
```

---

3.
# La3ZnCl

A PBEsol-optimized structure of La3ZnCl (SCAN, Alexandria via LeMat-Bulk).

```
La3ZnCl
1.0
-3.233 -0.817 4.188
2.844 -4.330 1.351
3.181 3.041 3.049
Cl La Zn
1 3 1
Cartesian
0.000 0.000 0.000 Cl
1.591 1.520 1.524 La
1.422 -2.165 0.676 La
-1.617 -0.408 2.094 La
1.396 -1.053 4.294 Zn
```

---

4.
# TaInPS2

A PBEsol-optimized structure of TaInPS2 (SCAN, Alexandria via LeMat-Bulk).

```
TaInPS2
1.0
4.728 0.000 0.000
0.000 4.728 0.000
0.000 0.000 4.937
P In S Ta
1 1 2 1
Cartesian
0.000 0.000 2.468 P
2.364 2.364 2.468 In
2.364 0.000 0.000 S
0.000 2.364 0.000 S
0.000 0.000 0.000 Ta
```

---

Number 1: DOS(E_F) 2.251 states/eV/f.u., formation energy from raw total energies 0.27 eV/atom. Number 2: DOS(E_F) 1.370 states/eV/f.u., formation energy from raw total energies -0.30 eV/atom. Number 3: DOS(E_F) 3.736 states/eV/f.u., formation energy from raw total energies -0.55 eV/atom. Number 4: DOS(E_F) 1.790 states/eV/f.u., formation energy from raw total energies -0.28 eV/atom.